Sr2Li3AgAs4: relaxed, PBE-GGA.

```
data_Sr2Li3AgAs4
_cell_length_a 4.3064
_cell_length_b 4.3064
_cell_length_c 11.1711
_cell_angle_alpha 90.00
_cell_angle_beta 90.00
_cell_angle_gamma 90.00
_symmetry_space_group_name_H-M 'P -4 m 2'
_symmetry_Int_Tables_number 115
loop_
_symmetry_equiv_pos_as_xyz
'x,y,z'
'y,-x,-z'
'-x,-y,z'
'-y,x,-z'
'-x,y,z'
'-y,-x,-z'
'x,-y,z'
'y,x,-z'
loop_
_atom_site_label
_atom_site_type_symbol
_atom_site_fract_x
_atom_site_fract_y
_atom_site_fract_z
_atom_site_occupancy
Sr1 Sr 0.0000 0.5000 0.2491 1
Li1 Li 0.0000 0.5000 0.8696 1
Li2 Li 0.5000 0.5000 0.5000 1
Ag1 Ag 0.0000 0.0000 0.5000 1
As1 As 0.0000 0.0000 0.0000 1
As2 As 0.0000 0.5000 0.6459 1
As3 As 0.5000 0.5000 0.0000 1
```

* E_form: -0.7388 eV per atom
* magnetic moment: 0.000 μB per atom